<P>
TiSiNi6 | PBE | relaxed

Properties
- total moment (μB per formula unit) = 0.00
- ρ (Mg/m³) = 7.90

Unit cell a=7.098 b=10.084 c=10.062 alpha=90.00 beta=90.00 gamma=90.00
Space group Cmmm (No. 65)
Inequivalent atoms, fractional coordinates:
Ti (0.000, 0.000, 0.249) x4
Ti (0.000, 0.243, 0.500) x4
Si (0.000, 0.241, 0.000) x4
Si (0.000, 0.500, 0.249) x4
Ni (0.000, 0.000, 0.000) x2
Ni (0.000, 0.000, 0.500) x2
Ni (0.000, 0.250, 0.245) x8
Ni (0.000, 0.500, 0.000) x2
Ni (0.000, 0.500, 0.500) x2
Ni (0.245, 0.375, 0.122) x16
Ni (0.245, 0.376, 0.372) x16

***

<Q>
TiSiNi6 | PBE | relaxed

Properties
- total moment (μB per formula unit) = 0.00
- ρ (Mg/m³) = 6.15

Unit cell a=4.7940 b=4.7940 c=17.4186 alpha=90.00 beta=90.00 gamma=120.00
Space group R-3m (No. 166, hexagonal axes)
Inequivalent atoms, fractional coordinates:
Ti (0.0000, 0.0000, 0.0000) x3
Si (0.0000, 0.0000, 0.5000) x3
Ni (0.0076, 0.5038, 0.9321) x18

***

Result of the stability comparison: <Q> is the least stable of them.

***

<P>
Tl2SiNi | PBE | relaxed

Properties
- total moment (μB per formula unit) = 0.00
- ρ (Mg/m³) = 9.93

Unit cell a=3.856 b=5.211 c=8.246 alpha=90.00 beta=90.00 gamma=90.00
Space group Immm (No. 71)
Inequivalent atoms, fractional coordinates:
Tl (0.000, 0.000, 0.233) x4
Si (0.000, 0.500, 0.000) x2
Ni (0.000, 0.500, 0.500) x2

***

<Q>
Tl2SiNi | PBE | relaxed

Properties
- total moment (μB per formula unit) = 0.00
- ρ (Mg/m³) = 9.23

Unit cell a=3.159 b=4.427 c=12.744 alpha=90.00 beta=90.00 gamma=90.00
Space group Imm2 (No. 44)
Inequivalent atoms, fractional coordinates:
Tl (0.000, 0.000, 0.000) x2
Tl (0.000, 0.500, 0.199) x2
Si (0.000, 0.000, 0.375) x2
Ni (0.000, 0.500, 0.747) x2

***

<R>
Tl2SiNi | PBE | relaxed

Properties
- total moment (μB per formula unit) = 0.00
- ρ (Mg/m³) = 10.18

Unit cell a=3.166 b=3.166 c=8.065 alpha=90.00 beta=90.00 gamma=90.00
Space group P4/mmm (No. 123)
Inequivalent atoms, fractional coordinates:
Tl (0.000, 0.000, 0.216) x2
Si (0.500, 0.500, 0.500) x1
Ni (0.500, 0.500, 0.000) x1

***

<S>
Tl2SiNi | PBE | relaxed

Properties
- total moment (μB per formula unit) = 0.00
- ρ (Mg/m³) = 9.26

Unit cell a=4.451 b=4.451 c=17.946 alpha=90.00 beta=90.00 gamma=90.00
Space group I-42d (No. 122)
Inequivalent atoms, fractional coordinates:
Tl (0.230, 0.250, 0.125) x8
Si (0.000, 0.000, 0.500) x4
Ni (0.000, 0.000, 0.000) x4

***

Result of the stability comparison: <S> is the least stable of them.

***

<P>
TlSiNi3 | PBE | relaxed

Properties
- total moment (μB per formula unit) = 0.00
- ρ (Mg/m³) = 8.64

Unit cell a=4.281 b=4.281 c=4.281 alpha=90.00 beta=90.00 gamma=90.00
Space group Pm-3m (No. 221)
Inequivalent atoms, fractional coordinates:
Tl (0.000, 0.000, 0.000) x1
Si (0.500, 0.500, 0.500) x1
Ni (0.000, 0.500, 0.500) x3

***

<Q>
TlSiNi3 | PBE | relaxed

Properties
- total moment (μB per formula unit) = 0.00
- ρ (Mg/m³) = 6.47

Unit cell a=4.715 b=4.715 c=4.715 alpha=90.00 beta=90.00 gamma=90.00
Space group Pm-3m (No. 221)
Inequivalent atoms, fractional coordinates:
Tl (0.000, 0.000, 0.000) x1
Si (0.500, 0.500, 0.500) x1
Ni (0.000, 0.000, 0.500) x3

***

Result of the stability comparison: <Q> is the least stable of them.

***

<P>
Tl2SiNi2 | PBE | relaxed

Properties
- total moment (μB per formula unit) = 0.00
- ρ (Mg/m³) = 10.30

Unit cell a=6.312 b=6.312 c=4.485 alpha=90.00 beta=90.00 gamma=90.00
Space group P4/mbm (No. 127)
Inequivalent atoms, fractional coordinates:
Tl (0.167, 0.333, 0.000) x4
Si (0.000, 0.000, 0.500) x2
Ni (0.162, 0.662, 0.500) x4

***

<Q>
Tl2SiNi2 | PBE | relaxed

Properties
- total moment (μB per formula unit) = 0.00
- ρ (Mg/m³) = 6.98

Unit cell a=5.171 b=5.171 c=9.868 alpha=90.00 beta=90.00 gamma=90.00
Space group I4/mmm (No. 139)
Inequivalent atoms, fractional coordinates:
Tl (0.000, 0.500, 0.250) x4
Si (0.000, 0.000, 0.000) x2
Ni (0.000, 0.000, 0.212) x4

***

Result of the stability comparison: <Q> is the least stable of them.

***

<P>
Tl3SiNi | PBE | relaxed

Properties
- total moment (μB per formula unit) = 0.00
- ρ (Mg/m³) = 8.88

Unit cell a=5.077 b=5.077 c=5.077 alpha=90.00 beta=90.00 gamma=90.00
Space group Pm-3m (No. 221)
Inequivalent atoms, fractional coordinates:
Tl (0.000, 0.000, 0.500) x3
Si (0.500, 0.500, 0.500) x1
Ni (0.000, 0.000, 0.000) x1

***

<Q>
Tl3SiNi | PBE | relaxed

Properties
- total moment (μB per formula unit) = 0.45
- ρ (Mg/m³) = 7.76

Unit cell a=5.311 b=5.311 c=5.311 alpha=90.00 beta=90.00 gamma=90.00
Space group Pm-3m (No. 221)
Inequivalent atoms, fractional coordinates:
Tl (0.000, 0.000, 0.500) x3
Si (0.000, 0.000, 0.000) x1
Ni (0.500, 0.500, 0.500) x1

***

Result of the stability comparison: <Q> is the least stable of them.

***

<P>
TmSi2Ni4 | PBE | relaxed

Properties
- total moment (μB per formula unit) = 0.00
- ρ (Mg/m³) = 8.13

Unit cell a=15.869 b=3.929 c=6.030 alpha=90.00 beta=90.00 gamma=90.00
Space group Pnma (No. 62)
Inequivalent atoms, fractional coordinates:
Tm (0.140, 0.250, 0.004) x4
Si (0.041, 0.750, 0.260) x4
Si (0.218, 0.250, 0.518) x4
Ni (0.026, 0.750, 0.854) x4
Ni (0.073, 0.250, 0.494) x4
Ni (0.188, 0.750, 0.313) x4
Ni (0.195, 0.750, 0.717) x4

***

<Q>
TmSi2Ni4 | PBE | relaxed

Properties
- total moment (μB per formula unit) = 0.00
- ρ (Mg/m³) = 8.18

Unit cell a=7.178 b=7.178 c=3.622 alpha=90.00 beta=90.00 gamma=90.00
Space group P4_2/mnm (No. 136)
Inequivalent atoms, fractional coordinates:
Tm (0.000, 0.000, 0.000) x2
Si (0.222, 0.222, 0.500) x4
Ni (0.083, 0.664, 0.500) x8

***

Result of the stability comparison: <P> is the least stable of them.